A relaxed AgWN2F crystal. Source: the Alexandria database, functional PBE with a Hubbard U.

The structure belongs to space group P4/mmm (No. 123); the cell edges are 4.120, 4.120 and 3.993 Å and the angles 90.00°, 90.00° and 90.00°. The distinct sites, in fractional coordinates, are Ag at (0.000, 0.000, 0.000), W at (0.500, 0.500, 0.500), N at (0.000, 0.500, 0.000) and F at (0.000, 0.000, 0.500).

Its energy is -4.29 eV/atom. The density of states at the Fermi level is 2.601 states/eV per cell. The magnetic moment comes out at 2.333 μB/f.u. The energy above the lowest structure with this stoichiometry comes out at 7.38 eV/f.u.